--- w ---
Material: Sr2TaOs
Method: DFT, PBE-GGA
State: relaxed

CIF file:
```
data_Sr2TaOs
_chemical_formula_sum 'Sr8 Ta4 Os4'
_symmetry_space_group_name_H-M 'I -4 2 d'
_symmetry_Int_Tables_number 122
_symmetry_space_group_name_Hall 'I -4 2bw'
_cell_length_a 11.490
_cell_length_b 11.490
_cell_length_c 4.782
_cell_angle_alpha 90.00
_cell_angle_beta 90.00
_cell_angle_gamma 90.00
loop_
_atom_site_label
_atom_site_type_symbol
_atom_site_fract_x
_atom_site_fract_y
_atom_site_fract_z
_atom_site_occupancy
Sr1 Sr 0.084 0.750 0.125 1
Ta1 Ta 0.000 0.000 0.500 1
Os1 Os 0.000 0.000 0.000 1
```

Calculated values
Fermi-level density of states	20.752	states/eV per cell


--- x ---
Material: Sr2TaOs
Method: DFT, PBE-GGA
State: relaxed

CIF file:
```
data_Sr2TaOs
_chemical_formula_sum 'Sr6 Ta3 Os3'
_symmetry_space_group_name_H-M 'R 3 m'
_symmetry_Int_Tables_number 160
_symmetry_space_group_name_Hall 'R 3 -2"'
_cell_length_a 4.3126
_cell_length_b 4.3126
_cell_length_c 26.3583
_cell_angle_alpha 90.00
_cell_angle_beta 90.00
_cell_angle_gamma 120.00
loop_
_atom_site_label
_atom_site_type_symbol
_atom_site_fract_x
_atom_site_fract_y
_atom_site_fract_z
_atom_site_occupancy
Sr1 Sr 0.0000 0.0000 0.0000 1
Sr2 Sr 0.0000 0.0000 0.1805 1
Ta1 Ta 0.0000 0.0000 0.4216 1
Os1 Os 0.0000 0.0000 0.7608 1
```

Calculated values
Fermi-level density of states	15.264	states/eV per cell


What is the least stable structure shown above? It is w.